1.
Material: CrAuC2Br
Method: DFT, GGA-PBE
State: relaxed

## Properties
formation energy without anion corrections: 9.9 eV per formula unit
crystal system: tetragonal

a b c (Å): 3.932 3.932 7.784
angles (deg): 90.00 90.00 90.00
Fractional coordinates of all 5 atoms:
Cr 0.000 0.000 0.000
Au 0.500 0.500 0.500
C 0.000 0.500 0.500
C 0.500 0.000 0.500
Br 0.500 0.500 0.000


2.
Material: MoPS
Method: DFT, GGA-PBE
State: relaxed

## Properties
formation energy without anion corrections: -1.3 eV per formula unit
crystal system: orthorhombic

a b c (Å): 10.733 3.200 5.585
angles (deg): 90.00 90.00 90.00
Fractional coordinates of all 12 atoms:
Mo 0.248 0.250 0.234
Mo 0.252 0.750 0.734
Mo 0.748 0.250 0.266
Mo 0.752 0.750 0.766
P 0.093 0.750 0.050
P 0.407 0.250 0.550
P 0.593 0.750 0.450
P 0.907 0.250 0.950
S 0.111 0.250 0.568
S 0.389 0.750 0.068
S 0.611 0.250 0.932
S 0.889 0.750 0.432


3.
Material: Be3ReSe
Method: DFT, GGA-PBE
State: relaxed

## Properties
energy above the most stable polymorph in this dataset: 171 meV/atom
formation energy without anion corrections: 7.0 eV per formula unit
crystal system: cubic

a b c (Å): 4.133 4.133 4.133
angles (deg): 90.00 90.00 90.00
Fractional coordinates of all 5 atoms:
Be 0.000 0.000 0.500
Be 0.000 0.500 0.000
Be 0.500 0.000 0.000
Re 0.500 0.500 0.500
Se 0.000 0.000 0.000


4.
Material: Rb2BiAsCl6
Method: DFT, GGA-PBE
State: relaxed

## Properties
formation energy without anion corrections: -10.8 eV per formula unit
crystal system: tetragonal

a b c (Å): 7.737 7.737 7.737
angles (deg): 120.52 120.52 89.10
Fractional coordinates of all 10 atoms:
Rb 0.250 0.750 0.500
Rb 0.750 0.250 0.500
Bi 0.000 0.000 0.000
As 0.500 0.500 0.000
Cl 0.254 0.254 0.000
Cl 0.258 0.258 0.516
Cl 0.258 0.742 0.000
Cl 0.742 0.258 0.000
Cl 0.742 0.742 0.484
Cl 0.746 0.746 0.000


5.
Material: Rb2MgP2Se6
Method: DFT, GGA-PBE
State: relaxed

## Properties
formation energy without anion corrections: -6.4 eV per formula unit
crystal system: trigonal

a b c (Å): 8.284 8.284 8.284
angles (deg): 51.63 51.63 51.63
Fractional coordinates of all 11 atoms:
Rb 0.239 0.239 0.239
Rb 0.761 0.761 0.761
Mg 0.000 0.000 0.000
P 0.444 0.444 0.444
P 0.556 0.556 0.556
Se 0.226 0.749 0.749
Se 0.251 0.251 0.774
Se 0.251 0.774 0.251
Se 0.749 0.226 0.749
Se 0.749 0.749 0.226
Se 0.774 0.251 0.251


6.
Material: Cd2Cu2Hg
Method: DFT, GGA-PBE
State: relaxed

## Properties
energy above the most stable polymorph in this dataset: 41 meV/atom
crystal system: tetragonal
calculated formation energy: 0.1229 eV/atom

a b c (Å): 8.724 8.724 8.724
angles (deg): 157.38 157.38 32.21
Fractional coordinates of all 5 atoms:
Cd 0.119 0.119 0.000
Cd 0.881 0.881 0.000
Cu 0.250 0.750 0.500
Cu 0.750 0.250 0.500
Hg 0.500 0.500 0.000


7.
Material: Ag2Sn2As
Method: DFT, GGA-PBE
State: relaxed

## Properties
energy above the most stable polymorph in this dataset: 45 meV/atom
crystal system: tetragonal
calculated formation energy: 0.1876 eV/atom

a b c (Å): 8.560 8.560 3.109
angles (deg): 90.00 90.00 90.00
Fractional coordinates of all 10 atoms:
Ag 0.113 0.387 0.000
Ag 0.387 0.887 0.000
Ag 0.613 0.113 0.000
Ag 0.887 0.613 0.000
Sn 0.187 0.687 0.500
Sn 0.313 0.187 0.500
Sn 0.687 0.813 0.500
Sn 0.813 0.313 0.500
As 0.000 0.000 0.500
As 0.500 0.500 0.500


8.
Material: LaNdSi
Method: DFT, GGA-PBE
State: relaxed

## Properties
energy above the most stable polymorph in this dataset: 67 meV/atom
formation energy without anion corrections: -1.3 eV per formula unit
crystal system: cubic

a b c (Å): 5.077 5.077 5.077
angles (deg): 60.00 60.00 60.00
Fractional coordinates of all 3 atoms:
La 0.000 0.000 0.000
Nd 0.500 0.500 0.500
Si 0.750 0.750 0.750


9.
Material: CaPuU2As4
Method: DFT, GGA-PBE
State: relaxed

## Properties
crystal system: tetragonal
calculated formation energy: -0.9114 eV/atom

a b c (Å): 7.166 7.166 7.166
angles (deg): 131.94 131.94 70.33
Fractional coordinates of all 8 atoms:
Ca 0.000 0.000 0.000
Pu 0.250 0.750 0.500
U 0.500 0.500 0.000
U 0.750 0.250 0.500
As 0.258 0.258 0.000
As 0.503 0.003 0.500
As 0.742 0.742 0.000
As 0.997 0.497 0.500


10.
Material: Ce6SiGe
Method: DFT, GGA-PBE
State: relaxed

## Properties
formation energy without anion corrections: -3.0 eV per formula unit
crystal system: tetragonal

a b c (Å): 4.586 4.586 9.182
angles (deg): 90.00 90.00 90.00
Fractional coordinates of all 8 atoms:
Ce 0.000 0.000 0.000
Ce 0.000 0.000 0.500
Ce 0.000 0.500 0.246
Ce 0.000 0.500 0.754
Ce 0.500 0.000 0.246
Ce 0.500 0.000 0.754
Si 0.500 0.500 0.000
Ge 0.500 0.500 0.500


11.
Material: TaNiBr3
Method: DFT, GGA-PBE
State: relaxed

## Properties
energy above the most stable polymorph in this dataset: 0 meV/atom
formation energy without anion corrections: 3.0 eV per formula unit
crystal system: cubic

a b c (Å): 5.123 5.123 5.123
angles (deg): 90.00 90.00 90.00
Fractional coordinates of all 5 atoms:
Ta 0.000 0.000 0.000
Ni 0.500 0.500 0.500
Br 0.000 0.000 0.500
Br 0.000 0.500 0.000
Br 0.500 0.000 0.000


12.
Material: Nb8TcMo2
Method: DFT, GGA-PBE
State: relaxed

## Properties
crystal system: monoclinic
calculated formation energy: 0.1228 eV/atom

a b c (Å): 7.538 7.538 5.361
angles (deg): 103.36 103.36 41.96
Fractional coordinates of all 11 atoms:
Nb 0.001 0.001 0.241
Nb 0.082 0.587 0.416
Nb 0.394 0.394 0.950
Nb 0.413 0.918 0.584
Nb 0.587 0.082 0.416
Nb 0.606 0.606 0.050
Nb 0.918 0.413 0.584
Nb 0.999 0.999 0.759
Tc 0.500 0.500 0.500
Mo 0.193 0.193 0.067
Mo 0.807 0.807 0.933


13.
Material: Pm7ThIn4
Method: DFT, GGA-PBE
State: relaxed

## Properties
crystal system: monoclinic
calculated formation energy: -0.1026 eV/atom

a b c (Å): 7.898 7.898 10.500
angles (deg): 120.45 120.45 43.93
Fractional coordinates of all 12 atoms:
Pm 0.000 0.000 0.000
Pm 0.226 0.226 0.668
Pm 0.296 0.296 0.116
Pm 0.438 0.438 0.609
Pm 0.562 0.562 0.391
Pm 0.704 0.704 0.884
Pm 0.774 0.774 0.332
Th 0.500 0.500 0.000
In 0.053 0.053 0.744
In 0.184 0.184 0.336
In 0.816 0.816 0.664
In 0.947 0.947 0.256


14.
Material: LaTbDy2Y5
Method: DFT, GGA-PBE
State: relaxed

## Properties
crystal system: tetragonal
calculated formation energy: 0.2677 eV/atom

a b c (Å): 9.812 9.812 9.812
angles (deg): 125.95 125.95 79.98
Fractional coordinates of all 18 atoms:
La 0.250 0.250 0.000
La 0.750 0.750 0.000
Tb 0.250 0.750 0.500
Tb 0.750 0.250 0.500
Dy 0.114 0.614 0.727
Dy 0.386 0.114 0.500
Dy 0.614 0.886 0.500
Dy 0.886 0.386 0.273
Y 0.000 0.000 0.000
Y 0.073 0.164 0.500
Y 0.164 0.664 0.091
Y 0.336 0.427 0.500
Y 0.427 0.927 0.091
Y 0.500 0.500 0.000
Y 0.573 0.073 0.909
Y 0.664 0.573 0.500
Y 0.836 0.336 0.909
Y 0.927 0.836 0.500


15.
Material: Pr6ZnCd3
Method: DFT, GGA-PBE
State: relaxed

## Properties
crystal system: monoclinic
calculated formation energy: -0.2194 eV/atom

a b c (Å): 9.426 5.475 12.144
angles (deg): 90.00 108.93 90.00
Fractional coordinates of all 20 atoms:
Pr 0.033 0.250 0.412
Pr 0.166 0.750 0.172
Pr 0.254 0.250 0.999
Pr 0.356 0.750 0.816
Pr 0.365 0.250 0.347
Pr 0.409 0.250 0.635
Pr 0.591 0.750 0.365
Pr 0.635 0.750 0.653
Pr 0.644 0.250 0.184
Pr 0.746 0.750 0.001
Pr 0.834 0.250 0.828
Pr 0.967 0.750 0.588
Zn 0.457 0.750 0.091
Zn 0.543 0.250 0.909
Cd 0.033 0.750 0.874
Cd 0.109 0.250 0.718
Cd 0.268 0.750 0.474
Cd 0.732 0.250 0.526
Cd 0.891 0.750 0.282
Cd 0.967 0.250 0.126


16.
Material: Tc2MoAs
Method: DFT, GGA-PBE
State: relaxed

## Properties
crystal system: monoclinic
calculated formation energy: 0.2338 eV/atom

a b c (Å): 5.090 5.090 2.853
angles (deg): 102.29 102.29 116.24
Fractional coordinates of all 4 atoms:
Tc 0.000 0.500 0.000
Tc 0.500 0.000 0.000
Mo 0.000 0.000 0.500
As 0.500 0.500 0.500


17.
Material: PrDy2In
Method: DFT, GGA-PBE
State: relaxed

## Properties
energy above the most stable polymorph in this dataset: 171 meV/atom
crystal system: cubic
calculated formation energy: -0.0911 eV/atom

a b c (Å): 5.506 5.506 5.506
angles (deg): 60.00 60.00 60.00
Fractional coordinates of all 4 atoms:
Pr 0.000 0.000 0.000
Dy 0.250 0.250 0.250
Dy 0.750 0.750 0.750
In 0.500 0.500 0.500


18.
Material: Sr3Mg4Ga4
Method: DFT, GGA-PBE
State: relaxed

## Properties
crystal system: monoclinic
calculated formation energy: -0.2885 eV/atom

a b c (Å): 15.073 15.073 4.179
angles (deg): 97.93 97.93 18.23
Fractional coordinates of all 11 atoms:
Sr 0.000 0.000 0.000
Sr 0.353 0.353 0.852
Sr 0.647 0.647 0.148
Mg 0.095 0.095 0.594
Mg 0.253 0.253 0.253
Mg 0.747 0.747 0.747
Mg 0.905 0.905 0.406
Ga 0.189 0.189 0.689
Ga 0.454 0.454 0.456
Ga 0.546 0.546 0.544
Ga 0.811 0.811 0.311


19.
Material: Mn4HgCl8
Method: DFT, GGA-PBE
State: relaxed

## Properties
formation energy without anion corrections: -12.7 eV per formula unit
crystal system: monoclinic

a b c (Å): 9.415 9.415 12.897
angles (deg): 131.85 131.85 22.77
Fractional coordinates of all 13 atoms:
Mn 0.000 0.000 0.000
Mn 0.182 0.182 0.693
Mn 0.513 0.513 0.344
Mn 0.698 0.698 0.044
Hg 0.848 0.848 0.521
Cl 0.139 0.139 0.457
Cl 0.189 0.189 0.170
Cl 0.199 0.199 0.912
Cl 0.496 0.496 0.129
Cl 0.507 0.507 0.874
Cl 0.555 0.555 0.581
Cl 0.807 0.807 0.797
Cl 0.888 0.888 0.242


20.
Material: HoCdOsO6
Method: DFT, GGA-PBE
State: relaxed

## Properties
formation energy without anion corrections: -14.8 eV per formula unit
crystal system: trigonal

a b c (Å): 5.527 5.527 9.271
angles (deg): 90.00 90.00 120.00
Fractional coordinates of all 18 atoms:
Ho 0.333 0.667 0.250
Ho 0.667 0.333 0.750
Cd 0.000 0.000 0.000
Cd 0.000 0.000 0.500
Os 0.333 0.667 0.750
Os 0.667 0.333 0.250
O 0.044 0.384 0.634
O 0.044 0.660 0.866
O 0.340 0.384 0.866
O 0.340 0.956 0.634
O 0.384 0.044 0.134
O 0.384 0.340 0.366
O 0.616 0.660 0.634
O 0.616 0.956 0.866
O 0.660 0.044 0.366
O 0.660 0.616 0.134
O 0.956 0.340 0.134
O 0.956 0.616 0.366